# 1
VASP calculation (GGA-PBE) on K2PbAu2 after structural relaxation.

SG: P4/mbm
Formation energy from the elements, eV/atom: 0.006
Uncorrected energy, Ry per atom: -0.183
Energy above the most stable polymorph in this dataset, meV per atom: 305

Lattice parameters (Å, degrees): 9.449 9.449 3.382 90.00 90.00 90.00
Positions (direct):
Pb  0.000  0.000  0.000
Pb  0.500  0.500  0.000
K  0.369  0.869  0.000
K  0.869  0.631  0.000
K  0.631  0.131  0.000
K  0.131  0.369  0.000
Au  0.169  0.669  0.500
Au  0.669  0.831  0.500
Au  0.831  0.331  0.500
Au  0.331  0.169  0.500


# 2
VASP calculation (GGA-PBE) on K2Pb2Au after structural relaxation.

SG: I4/mmm
Formation energy from the elements, eV/atom: 0.331
Uncorrected energy, Ry per atom: -0.165
Energy above the most stable polymorph in this dataset, meV per atom: 518

Lattice parameters (Å, degrees): 4.514 4.514 8.820 75.17 75.17 90.00
Positions (direct):
Pb  0.414  0.414  0.171
Pb  0.586  0.586  0.829
K  0.750  0.250  0.500
K  0.250  0.750  0.500
Au  0.000  0.000  0.000


# 3
VASP calculation (GGA-PBE) on K2PbAu2 after structural relaxation.

SG: P4/mbm
Formation energy from the elements, eV/atom: -0.224
Uncorrected energy, Ry per atom: -0.200
Energy above the most stable polymorph in this dataset, meV per atom: 75

Lattice parameters (Å, degrees): 7.740 7.740 5.137 90.00 90.00 90.00
Positions (direct):
Pb  0.000  0.000  0.000
Pb  0.500  0.500  0.000
K  0.171  0.671  0.500
K  0.671  0.829  0.500
K  0.829  0.329  0.500
K  0.329  0.171  0.500
Au  0.369  0.869  0.000
Au  0.869  0.631  0.000
Au  0.631  0.131  0.000
Au  0.131  0.369  0.000


# 4
VASP calculation (GGA-PBE) on K2Pb2Au after structural relaxation.

SG: P4/mbm
Formation energy from the elements, eV/atom: -0.135
Uncorrected energy, Ry per atom: -0.199
Energy above the most stable polymorph in this dataset, meV per atom: 51

Lattice parameters (Å, degrees): 7.592 7.592 5.952 90.00 90.00 90.00
Positions (direct):
Pb  0.358  0.858  0.000
Pb  0.858  0.642  0.000
Pb  0.642  0.142  0.000
Pb  0.142  0.358  0.000
K  0.176  0.676  0.500
K  0.676  0.824  0.500
K  0.824  0.324  0.500
K  0.324  0.176  0.500
Au  0.000  0.000  0.000
Au  0.500  0.500  0.000


# 5
VASP calculation (GGA-PBE) on K2PdPb4Au3 after structural relaxation.

SG: P-4m2
Formation energy from the elements, eV/atom: -0.210
Uncorrected energy, Ry per atom: -0.251

Lattice parameters (Å, degrees): 5.068 5.068 11.335 90.00 90.00 90.00
Positions (direct):
K  0.500  0.000  0.263
K  0.000  0.500  0.737
Pd  0.500  0.500  0.500
Pb  0.500  0.500  0.000
Pb  0.000  0.000  0.000
Pb  0.500  0.000  0.610
Pb  0.000  0.500  0.390
Au  0.000  0.000  0.500
Au  0.500  0.000  0.866
Au  0.000  0.500  0.134


# 6
VASP calculation (GGA-PBE) on K2PtPb4Au3 after structural relaxation.

SG: P-4m2
Formation energy from the elements, eV/atom: -0.202
Uncorrected energy, Ry per atom: -0.257

Lattice parameters (Å, degrees): 5.086 5.086 11.266 90.00 90.00 90.00
Positions (direct):
K  0.500  0.000  0.265
K  0.000  0.500  0.735
Pt  0.500  0.500  0.500
Pb  0.500  0.500  0.000
Pb  0.000  0.000  0.000
Pb  0.500  0.000  0.610
Pb  0.000  0.500  0.390
Au  0.000  0.000  0.500
Au  0.500  0.000  0.868
Au  0.000  0.500  0.132


# 7
VASP calculation (GGA-PBE) on K2RbPbAu after structural relaxation.

SG: P4/mmm
Formation energy from the elements, eV/atom: 0.003
Uncorrected energy, Ry per atom: -0.149
Energy above the most stable polymorph in this dataset, meV per atom: 125

Lattice parameters (Å, degrees): 6.791 6.791 5.579 90.00 90.00 90.00
Positions (direct):
Pb  0.000  0.000  0.000
K  0.000  0.500  0.000
K  0.500  0.000  0.000
Au  0.000  0.000  0.500
Rb  0.500  0.500  0.500


# 8
VASP calculation (GGA-PBE) on KRb2PbAu after structural relaxation.

SG: P4/mmm
Formation energy from the elements, eV/atom: -0.084
Uncorrected energy, Ry per atom: -0.153

Lattice parameters (Å, degrees): 6.704 6.704 5.647 90.00 90.00 90.00
Positions (direct):
Pb  0.000  0.000  0.500
K  0.500  0.500  0.500
Au  0.000  0.000  0.000
Rb  0.000  0.500  0.000
Rb  0.500  0.000  0.000


# 9
VASP calculation (GGA-PBE) on K2RbPbAu after structural relaxation.

SG: P4/mmm
Formation energy from the elements, eV/atom: -0.122
Uncorrected energy, Ry per atom: -0.158
Energy above the most stable polymorph in this dataset, meV per atom: 0

Lattice parameters (Å, degrees): 6.435 6.435 5.670 90.00 90.00 90.00
Positions (direct):
Pb  0.000  0.000  0.500
K  0.000  0.500  0.000
K  0.500  0.000  0.000
Au  0.000  0.000  0.000
Rb  0.500  0.500  0.500


# 10
VASP calculation (GGA-PBE) on KPbAuS2 after structural relaxation.

SG: Cmme
Energy relative to the elements, uncorrected, meV per atom: -581
Uncorrected energy, Ry per atom: -0.283

Lattice parameters (Å, degrees): 5.370 7.751 8.447 117.31 90.00 90.00
Positions (direct):
K  0.226  0.750  0.500
K  0.774  0.250  0.500
Pb  0.500  0.750  0.000
Pb  0.500  0.250  0.000
Au  0.000  0.000  0.000
Au  0.000  0.500  0.000
S  0.735  0.877  0.753
S  0.735  0.623  0.247
S  0.265  0.377  0.753
S  0.265  0.123  0.247


# 11
VASP calculation (GGA-PBE) on K2Sb4PbAu3 after structural relaxation.

SG: P-4m2
Energy relative to the elements, uncorrected, meV per atom: -240
Uncorrected energy, Ry per atom: -0.255

Lattice parameters (Å, degrees): 5.016 5.016 11.534 90.00 90.00 90.00
Positions (direct):
K  0.500  0.000  0.245
K  0.000  0.500  0.755
Sb  0.500  0.500  0.000
Sb  0.000  0.000  0.000
Sb  0.500  0.000  0.644
Sb  0.000  0.500  0.356
Pb  0.500  0.500  0.500
Au  0.000  0.000  0.500
Au  0.500  0.000  0.882
Au  0.000  0.500  0.118


# 12
VASP calculation (GGA-PBE) on KSb2Pb2Au2 after structural relaxation.

SG: R-3m
Energy relative to the elements, uncorrected, meV per atom: -210
Uncorrected energy, Ry per atom: -0.260

Lattice parameters (Å, degrees): 4.699 4.699 11.724 78.44 78.44 60.00
Positions (direct):
K  0.000  0.000  0.000
Sb  0.738  0.738  0.785
Sb  0.262  0.262  0.215
Pb  0.130  0.130  0.609
Pb  0.870  0.870  0.391
Au  0.581  0.581  0.257
Au  0.419  0.419  0.743


# 13
VASP calculation (GGA-PBE) on KSb2PbAu5 after structural relaxation.

SG: P4/mmm
Energy relative to the elements, uncorrected, meV per atom: -123
Uncorrected energy, Ry per atom: -0.249

Lattice parameters (Å, degrees): 5.193 5.193 9.905 90.00 90.00 90.00
Positions (direct):
K  0.000  0.000  0.500
Sb  0.500  0.500  0.236
Sb  0.500  0.500  0.764
Pb  0.000  0.000  0.000
Au  0.000  0.500  0.159
Au  0.500  0.000  0.159
Au  0.000  0.500  0.841
Au  0.500  0.000  0.841
Au  0.500  0.500  0.500


# 14
VASP calculation (GGA-PBE) on KSbPbAu after structural relaxation.

SG: Pm
Energy relative to the elements, uncorrected, meV per atom: -137
Uncorrected energy, Ry per atom: -0.234

Lattice parameters (Å, degrees): 4.840 4.934 5.961 91.99 90.00 90.00
Positions (direct):
K  0.500  0.468  0.203
Sb  0.000  0.419  0.735
Pb  0.500  0.989  0.665
Au  0.000  0.921  0.930


# 15
VASP calculation (GGA-PBE) on KSbPb2Au2 after structural relaxation.

SG: I4/mmm
Energy relative to the elements, uncorrected, meV per atom: -73
Uncorrected energy, Ry per atom: -0.240

Lattice parameters (Å, degrees): 5.176 5.176 8.755 107.19 107.19 90.00
Positions (direct):
K  0.500  0.500  0.000
Sb  0.000  0.000  0.000
Pb  0.250  0.750  0.500
Pb  0.750  0.250  0.500
Au  0.836  0.836  0.672
Au  0.164  0.164  0.328


# 16
VASP calculation (GGA-PBE) on KSnPbAu after structural relaxation.

SG: Cm
Formation energy from the elements, eV/atom: -0.070
Uncorrected energy, Ry per atom: -0.227

Lattice parameters (Å, degrees): 4.222 4.560 8.011 90.23 90.00 117.58
Positions (direct):
K  0.157  0.315  0.645
Sn  0.792  0.585  0.242
Pb  0.472  0.944  0.996
Au  0.474  0.949  0.373


# 17
VASP calculation (GGA-PBE) on K2SnPb4Au3 after structural relaxation.

SG: P-4m2
Formation energy from the elements, eV/atom: -0.172
Uncorrected energy, Ry per atom: -0.239

Lattice parameters (Å, degrees): 4.998 4.998 12.210 90.00 90.00 90.00
Positions (direct):
K  0.500  0.000  0.251
K  0.000  0.500  0.749
Sn  0.500  0.500  0.500
Pb  0.500  0.500  0.000
Pb  0.000  0.000  0.000
Pb  0.500  0.000  0.640
Pb  0.000  0.500  0.360
Au  0.000  0.000  0.500
Au  0.500  0.000  0.872
Au  0.000  0.500  0.128


# 18
VASP calculation (GGA-PBE) on KSn2Pb2Au6 after structural relaxation.

SG: P-1
Formation energy from the elements, eV/atom: -0.138
Uncorrected energy, Ry per atom: -0.252

Lattice parameters (Å, degrees): 6.778 7.445 9.239 131.68 89.98 62.75
Positions (direct):
K  0.500  0.000  0.500
Sn  0.918  0.167  0.731
Sn  0.082  0.833  0.269
Pb  0.351  0.299  0.298
Pb  0.649  0.701  0.702
Au  0.109  0.316  0.035
Au  0.425  0.683  0.964
Au  0.889  0.227  0.232
Au  0.575  0.317  0.036
Au  0.111  0.773  0.768
Au  0.891  0.684  0.965


# 19
VASP calculation (GGA-PBE) on KTe2PbAu after structural relaxation.

SG: Cmme
Energy relative to the elements, uncorrected, meV per atom: -475
Uncorrected energy, Ry per atom: -0.246

Lattice parameters (Å, degrees): 6.057 7.711 9.042 115.24 90.00 90.00
Positions (direct):
K  0.238  0.750  0.500
K  0.762  0.250  0.500
Te  0.746  0.870  0.741
Te  0.746  0.630  0.259
Te  0.254  0.370  0.741
Te  0.254  0.130  0.259
Pb  0.500  0.750  0.000
Pb  0.500  0.250  0.000
Au  0.000  0.000  0.000
Au  0.000  0.500  0.000


# 20
VASP calculation (GGA-PBE) on KTlPbAu after structural relaxation.

SG: R3m
Formation energy from the elements, eV/atom: -0.175
Uncorrected energy, Ry per atom: -0.205
Energy above the most stable polymorph in this dataset, meV per atom: 0

Lattice parameters (Å, degrees): 4.916 4.916 6.892 69.11 69.11 60.00
Positions (direct):
K  0.810  0.810  0.570
Tl  0.029  0.029  0.914
Pb  0.260  0.260  0.220
Au  0.627  0.627  0.119